Material: CePu2U3As6
Method: DFT, PBE-GGA
State: relaxed

Computed properties:
space group: C2/m (12)

a b c (Å): 7.098 7.098 7.264
angles (deg): 99.38 99.38 120.01
Site moments in Bohr magnetons follow the coordinates.
Positions (direct):
Ce: 0.000 0.000 0.000  -0.68
Pu: 0.333 0.667 0.000  -5.16
Pu: 0.667 0.333 0.000  -5.16
U: 0.166 0.834 0.500  -2.22
U: 0.834 0.166 0.500  -2.22
U: 0.500 0.500 0.500  -2.22
As: 0.914 0.578 0.744  0.09
As: 0.749 0.749 0.255  0.09
As: 0.086 0.422 0.256  0.09
As: 0.578 0.914 0.744  0.09
As: 0.251 0.251 0.745  0.09
As: 0.422 0.086 0.256  0.09

Material: Er2ThNpAs4
Method: DFT, PBE-GGA
State: relaxed

Computed properties:
space group: P2/m (10)

a b c (Å): 4.138 7.166 7.163
angles (deg): 109.51 90.00 90.00
Site moments in Bohr magnetons follow the coordinates.
Positions (direct):
Er: 0.500 0.000 0.500  0.01
Er: 0.000 0.500 0.500  0.00
Th: 0.500 0.500 0.000  0.04
Np: 0.000 0.000 0.000  3.80
As: 0.500 0.247 0.255  -0.05
As: 0.500 0.753 0.745  -0.05
As: 0.000 0.243 0.742  -0.02
As: 0.000 0.757 0.258  -0.02

Material: NbFe
Method: DFT, PBE-GGA
State: relaxed

Computed properties:
space group: I4/m (87)

a b c (Å): 8.032 8.032 3.988
angles (deg): 90.00 90.00 90.00
Positions (direct):
Nb: 0.205 0.866 0.000
Nb: 0.795 0.134 0.000
Nb: 0.134 0.205 0.000
Nb: 0.866 0.795 0.000
Nb: 0.705 0.366 0.500
Nb: 0.295 0.634 0.500
Nb: 0.634 0.705 0.500
Nb: 0.366 0.295 0.500
Fe: 0.453 0.135 0.000
Fe: 0.547 0.865 0.000
Fe: 0.865 0.453 0.000
Fe: 0.135 0.547 0.000
Fe: 0.953 0.635 0.500
Fe: 0.047 0.365 0.500
Fe: 0.365 0.953 0.500
Fe: 0.635 0.047 0.500

Calculated size of the total moment (μB per formula unit), listed in the same order as above: 18.608, 4.030, 0.000
Calculated energy of formation (eV per atom), listed in the same order as above: -0.947, -1.278, 0.450